VASP calculation (PBE-GGA) on a relaxed structure of SrLa2Au.

Lattice parameters (Å, degrees): 10.979 10.979 10.979 21.50 21.50 21.50
Sites, in units of the cell vectors:
La: 0.023 0.023 0.023
La: 0.477 0.477 0.477
Au: 0.750 0.750 0.750
Sr: 0.250 0.250 0.250

Output
The offset from the most stable computed form is 0.097 eV per atom. The value obtained for the calculated density is 6.00 g cm⁻³. The calculation puts the calculated formation energy at -0.258 eV per atom. As for the space group: No. 166.

---

VASP calculation (PBE-GGA) on a relaxed structure of SrLa2Au.

Lattice parameters (Å, degrees): 4.919 4.234 7.087 69.85 90.00 90.00
Sites, in units of the cell vectors:
Au: 0.500 0.750 0.750
La: 0.000 0.924 0.956
La: 0.000 0.576 0.544
Sr: 0.500 0.250 0.250

Output
The offset from the most stable computed form is 0.133 eV per atom. The value obtained for the calculated density is 6.74 g cm⁻³. The calculation puts the calculated formation energy at -0.223 eV per atom. As for the space group: No. 10.

---

VASP calculation (PBE-GGA) on a relaxed structure of SrLa2Au.

Lattice parameters (Å, degrees): 5.008 6.801 8.761 90.00 90.00 111.59
Sites, in units of the cell vectors:
La: 0.648 0.296 0.457
La: 0.648 0.296 0.043
La: 0.352 0.704 0.957
La: 0.352 0.704 0.543
Sr: 0.946 0.893 0.250
Sr: 0.054 0.107 0.750
Au: 0.218 0.437 0.250
Au: 0.782 0.563 0.750

Output
The offset from the most stable computed form is 0.000 eV per atom. The value obtained for the calculated density is 6.73 g cm⁻³. The calculation puts the calculated formation energy at -0.355 eV per atom. As for the space group: No. 63.

---

VASP calculation (PBE-GGA) on a relaxed structure of SrLa2Au3.

Lattice parameters (Å, degrees): 3.790 5.346 8.559 108.20 90.00 90.00
Sites, in units of the cell vectors:
La: 0.000 0.338 0.676
La: 0.000 0.662 0.324
Sr: 0.000 0.000 0.000
Au: 0.500 0.820 0.639
Au: 0.500 0.500 0.000
Au: 0.500 0.180 0.361

Output
The offset from the most stable computed form is 0.006 eV per atom. The value obtained for the calculated density is 9.64 g cm⁻³. The calculation puts the calculated formation energy at -0.774 eV per atom. As for the space group: No. 65.

---

VASP calculation (PBE-GGA) on a relaxed structure of SrLaAu3.

Lattice parameters (Å, degrees): 5.582 5.582 5.582 90.00 90.00 90.00
Sites, in units of the cell vectors:
Au: 0.000 0.000 0.500
Au: 0.500 0.000 0.000
Au: 0.000 0.500 0.000
La: 0.000 0.000 0.000
Sr: 0.500 0.500 0.500

Output
The offset from the most stable computed form is 0.485 eV per atom. The value obtained for the calculated density is 7.80 g cm⁻³. The calculation puts the calculated formation energy at -0.301 eV per atom. As for the space group: No. 221.

---

VASP calculation (PBE-GGA) on a relaxed structure of SrLa4Au5.

Lattice parameters (Å, degrees): 3.780 3.780 19.170 90.00 90.00 90.00
Sites, in units of the cell vectors:
Sr: 0.000 0.000 0.000
Au: 0.500 0.500 0.500
Au: 0.500 0.500 0.699
Au: 0.500 0.500 0.301
Au: 0.500 0.500 0.890
Au: 0.500 0.500 0.110
La: 0.000 0.000 0.401
La: 0.000 0.000 0.202
La: 0.000 0.000 0.798
La: 0.000 0.000 0.599

Output
The value obtained for the calculated density is 9.87 g cm⁻³. The calculation puts the calculated formation energy at -0.778 eV per atom. As for the space group: No. 123.